This record from the Alexandria database describes a relaxed structure of InFe2Pb. The functional is PBE.

Energy above the most stable polymorph in this dataset ... 484.1 meV per atom
Magnetic moment ... 10.50 μB per cell
Calculated formation energy ... 0.76 eV/atom

a b c (Å): 7.4209 7.4209 6.0222
angles (deg): 51.97 51.97 90.00
Each line ends with the local moment (μB).
Fractional positions:
1 Pb 0.0000 0.0000 0.0000  -0.05
2 Pb 0.7500 0.2500 0.5000  -0.05
3 Fe 0.6201 0.1250 0.2500  2.69
4 Fe 0.1299 0.6250 0.2500  2.69
5 Fe 0.3750 0.3799 0.7500  2.68
6 Fe 0.8750 0.8701 0.7500  2.69
7 In 0.5000 0.5000 0.0000  -0.08
8 In 0.2500 0.7500 0.5000  -0.08